Arrangement one

Density functional theory data (PBE) for an optimized crystal structure of HfHgRuF2.

Cell lengths 4.119, 6.677, 4.119 Å; angles 90.00, 90.00, 90.00 degrees
Fractional positions:
Hf 0.000 0.500 0.000
Hg 0.000 0.000 0.000
F 0.500 0.000 0.000
Ru 0.500 0.500 0.500
F 0.000 0.000 0.500

---

Arrangement two

Density functional theory data (PBE) for an optimized crystal structure of HfHgRuF2.

Cell lengths 4.040, 5.833, 4.040 Å; angles 90.00, 90.00, 90.00 degrees
Fractional positions:
Hg 0.000 0.500 0.000
Hf 0.000 0.000 0.000
F 0.500 0.000 0.000
Ru 0.500 0.500 0.500
F 0.000 0.000 0.500

---

Which structure loses on stability? arrangement one does.

---

Arrangement one

Density functional theory data (PBE) for an optimized crystal structure of HfIF2.

Cell lengths 4.506, 4.506, 4.506 Å; angles 60.00, 60.00, 60.00 degrees
Fractional positions:
I 0.000 0.000 0.000
F 0.250 0.250 0.250
F 0.750 0.750 0.750
Hf 0.500 0.500 0.500

---

Arrangement two

Density functional theory data (PBE) for an optimized crystal structure of HfIF2.

Cell lengths 4.779, 4.779, 7.665 Å; angles 71.84, 71.84, 90.00 degrees
Fractional positions:
Hf 0.000 0.000 0.000
F 0.875 0.125 0.250
Hf 0.750 0.250 0.500
I 0.500 0.500 0.000
F 0.375 0.125 0.750
F 0.875 0.125 0.750
F 0.875 0.625 0.250
I 0.250 0.750 0.500

---

Which structure loses on stability? arrangement one does.

---

Arrangement one

Density functional theory data (PBE) for an optimized crystal structure of HfIN2F.

Cell lengths 4.258, 4.258, 4.029 Å; angles 90.00, 90.00, 90.00 degrees
Fractional positions:
N 0.000 0.500 0.000
N 0.500 0.000 0.000
I 0.000 0.000 0.500
F 0.000 0.000 0.000
Hf 0.500 0.500 0.500

---

Arrangement two

Density functional theory data (PBE) for an optimized crystal structure of HfIN2F.

Cell lengths 4.346, 4.346, 4.084 Å; angles 90.00, 90.00, 90.00 degrees
Fractional positions:
N 0.000 0.500 0.000
N 0.500 0.000 0.000
Hf 0.000 0.000 0.000
F 0.000 0.000 0.500
I 0.500 0.500 0.500

---

Arrangement three

Density functional theory data (PBE) for an optimized crystal structure of HfIN2F.

Cell lengths 4.067, 4.067, 6.073 Å; angles 90.00, 90.00, 90.00 degrees
Fractional positions:
N 0.500 0.000 0.000
N 0.000 0.500 0.000
F 0.500 0.500 0.500
Hf 0.000 0.000 0.000
I 0.000 0.000 0.500

---

Arrangement four

Density functional theory data (PBE) for an optimized crystal structure of HfIN2F.

Cell lengths 4.214, 4.214, 4.365 Å; angles 90.00, 90.00, 90.00 degrees
Fractional positions:
I 0.000 0.000 0.000
N 0.500 0.000 0.000
F 0.000 0.000 0.500
N 0.000 0.500 0.000
Hf 0.500 0.500 0.500

---

Which structure loses on stability? arrangement one does.

---

Arrangement one

Density functional theory data (PBE) for an optimized crystal structure of HfI2OF.

Cell lengths 5.751, 5.751, 3.940 Å; angles 90.00, 90.00, 90.00 degrees
Fractional positions:
I 0.000 0.500 0.000
F 0.500 0.500 0.500
O 0.000 0.000 0.500
I 0.500 0.000 0.000
Hf 0.000 0.000 0.000

---

Arrangement two

Density functional theory data (PBE) for an optimized crystal structure of HfI2OF.

Cell lengths 5.306, 5.306, 3.606 Å; angles 90.00, 90.00, 90.00 degrees
Fractional positions:
F 0.000 0.000 0.000
O 0.000 0.000 0.500
I 0.500 0.000 0.000
I 0.000 0.500 0.000
Hf 0.500 0.500 0.500

---

Which structure loses on stability? arrangement two does.